{"formula": "Li7Mn2Co3O12", "functional": "PBE with a Hubbard U", "state": "optimized geometry", "lattice": [[1.1034, -1.7800, -5.5082], [-5.4952, 1.4978, -1.5424], [3.1053, 5.7132, 0.3574]], "species": ["Li", "Li", "Li", "Li", "Li", "Li", "Li", "Mn", "Mn", "Co", "Co", "Co", "O", "O", "O", "O", "O", "O", "O", "O", "O", "O", "O", "O"], "frac_coords": [[0.1616, 0.1671, 0.1767], [0.3272, 0.8369, 0.8283], [0.5000, 0.5000, 0.5000], [0.8384, 0.8329, 0.8233], [0.0000, 0.5000, 0.5000], [0.6728, 0.1631, 0.1717], [0.0000, 0.0000, 0.5000], [0.3308, 0.3293, 0.8311], [0.6692, 0.6707, 0.1689], [0.5000, 0.0000, 0.5000], [0.8363, 0.3232, 0.8231], [0.1637, 0.6768, 0.1769], [0.0994, 0.5660, 0.8445], [0.2609, 0.2496, 0.5214], [0.4323, 0.8985, 0.1704], [0.7404, 0.2451, 0.5180], [0.9034, 0.8904, 0.1562], [0.5769, 0.5689, 0.8492], [0.2596, 0.7549, 0.4820], [0.4231, 0.4311, 0.1508], [0.5677, 0.1015, 0.8296], [0.9006, 0.4340, 0.1555], [0.0966, 0.1096, 0.8438], [0.7391, 0.7504, 0.4786]], "total_energy_ev_per_atom": -5.879, "e_above_lowest_polymorph_kj_per_mol_atoms": 1.7, "space_group": "P-1, No. 2"}